(1)
Computed, not measured: a geometry-optimized SrHfP2S8 structure at the PBE level of DFT.

* total energy: -0.1992 Ha/atom
* mass density: 3.55 g/cm3
* E_form (uncorrected): -0.798 eV/atom

Unit cell a=6.0189 b=6.0189 c=8.7085 alpha=90.00 beta=90.00 gamma=120.00
With the nearest neighbours (Å) after each atom.
Atoms (fractional coordinates):
Sr1 0.0000 0.0000 0.0000  12 S 3.45-3.48
Hf1 0.0000 0.0000 0.5000  6 S 2.54
P1 0.6667 0.3333 0.2522  4 S 1.99-2.08
P2 0.3333 0.6667 0.7478  4 S 1.99-2.08
S1 0.3333 0.6667 0.9769  1 P 1.99
S2 0.3352 0.3336 0.3214  1 P 2.08
S3 0.6664 0.0016 0.3214  1 P 2.08
S4 0.6667 0.3333 0.0231  1 P 1.99
S5 0.3336 0.9984 0.6786  1 P 2.08
S6 0.6648 0.6664 0.6786  1 P 2.08
S7 0.0016 0.3352 0.6786  1 P 2.08
S8 0.9984 0.6648 0.3214  1 P 2.08



(2)
Computed, not measured: a geometry-optimized SrHfP2S structure at the PBE level of DFT.

* offset from the most stable computed form: 0 meV/atom
* total energy: -0.2259 Ha/atom
* mass density: 4.76 g/cm3
* Fermi-level density of states: 5.0 states/eV per cell
* E_form (uncorrected): -0.829 eV/atom

Unit cell a=5.0163 b=5.0163 c=4.9878 alpha=90.00 beta=90.00 gamma=90.00
With the nearest neighbours (Å) after each atom.
Atoms (fractional coordinates):
Sr1 0.5000 0.5000 0.5000  8 P 3.54, 4 S 3.55
S1 0.0000 0.0000 0.5000  2 Hf 2.49
Hf1 0.0000 0.0000 0.0000  2 S 2.49, 4 P 2.51
P1 0.0000 0.5000 0.0000  2 Hf 2.51
P2 0.5000 0.0000 0.0000  2 Hf 2.51



(3)
Computed, not measured: a geometry-optimized SrHfP2S structure at the PBE level of DFT.

* offset from the most stable computed form: 1912 meV/atom
* total energy: -0.1556 Ha/atom
* mass density: 4.38 g/cm3
* Fermi-level density of states: 4.2 states/eV per cell
* E_form (uncorrected): 1.083 eV/atom

Unit cell a=5.1304 b=5.1304 c=5.1907 alpha=90.00 beta=90.00 gamma=90.00
With the nearest neighbours (Å) after each atom.
Atoms (fractional coordinates):
Sr1 0.0000 0.0000 0.0000  4 P 2.57, 2 S 2.60
S1 0.0000 0.0000 0.5000  2 Sr 2.60
Hf1 0.5000 0.5000 0.5000  4 S 3.63, 8 P 3.65
P1 0.0000 0.5000 0.0000  2 Sr 2.57
P2 0.5000 0.0000 0.0000  2 Sr 2.57



(4)
Computed, not measured: a geometry-optimized HfTcP2S structure at the PBE level of DFT.

* offset from the most stable computed form: 318 meV/atom
* total energy: -0.2333 Ha/atom
* mass density: 5.15 g/cm3
* Fermi-level density of states: 3.2 states/eV per cell
* E_form (uncorrected): 0.705 eV/atom

Unit cell a=4.9866 b=4.9866 c=4.8078 alpha=90.00 beta=90.00 gamma=90.00
With the nearest neighbours (Å) after each atom.
Atoms (fractional coordinates):
P1 0.0000 0.5000 0.0000  2 Hf 2.49
P2 0.5000 0.0000 0.0000  2 Hf 2.49
S1 0.0000 0.0000 0.5000  2 Hf 2.40
Hf1 0.0000 0.0000 0.0000  2 S 2.40, 4 P 2.49
Tc1 0.5000 0.5000 0.5000  8 P 3.46, 4 S 3.53



(5)
Computed, not measured: a geometry-optimized HfTcP2S structure at the PBE level of DFT.

* offset from the most stable computed form: 0 meV/atom
* total energy: -0.2450 Ha/atom
* mass density: 6.31 g/cm3
* Fermi-level density of states: 3.2 states/eV per cell
* E_form (uncorrected): 0.387 eV/atom

Unit cell a=4.4581 b=4.4581 c=4.9073 alpha=90.00 beta=90.00 gamma=90.00
With the nearest neighbours (Å) after each atom.
Atoms (fractional coordinates):
P1 0.0000 0.5000 0.0000  2 Tc 2.23
P2 0.5000 0.0000 0.0000  2 Tc 2.23
S1 0.0000 0.0000 0.5000  2 Tc 2.45
Hf1 0.5000 0.5000 0.5000  4 S 3.15, 8 P 3.31
Tc1 0.0000 0.0000 0.0000  4 P 2.23, 2 S 2.45



(6)
Computed, not measured: a geometry-optimized Hf2TcPS structure at the PBE level of DFT.

* total energy: -0.2726 Ha/atom
* mass density: 8.66 g/cm3
* Fermi-level density of states: 1.1 states/eV per cell
* E_form (uncorrected): 0.546 eV/atom

Unit cell a=4.8802 b=4.1712 c=4.8802 alpha=90.00 beta=90.00 gamma=90.00
With the nearest neighbours (Å) after each atom.
Atoms (fractional coordinates):
P1 0.0000 0.0000 0.0000  2 S 2.09
S1 0.0000 0.5000 0.0000  2 P 2.09
Hf1 0.0000 0.0000 0.5000  2 P 2.44
Hf2 0.5000 0.0000 0.0000  2 P 2.44
Tc1 0.5000 0.5000 0.5000  8 Hf 3.21, 4 S 3.45